The following is a PBE-GGA calculation of CaTlTc2 after structural relaxation, from Alexandria via LeMat-Bulk.

a b c (Å): 10.1117 3.7572 5.1737
angles (deg): 90.00 110.40 90.00
Closest atoms and distances in Å follow each position.
Positions (direct):
Ca  0.0000  0.0000  0.0000  4 Tl 3.20, 6 Tc 3.25-3.32
Ca  0.5000  0.5000  0.0000  4 Tl 3.20, 6 Tc 3.25-3.32
Tl  0.0000  0.5000  0.5000  6 Tc 2.92-2.97, 4 Ca 3.20
Tl  0.5000  0.0000  0.5000  6 Tc 2.92-2.97, 4 Ca 3.20
Tc  0.2415  0.0000  0.6304  2 Tc 2.35
Tc  0.2585  0.5000  0.3696  2 Tc 2.35
Tc  0.7415  0.5000  0.6304  2 Tc 2.35
Tc  0.7585  0.0000  0.3696  2 Tc 2.35

Computed properties:
Total moment   0.00 μB/f.u.
ΔH_f (0 K)   0.48 eV/atom

The following is a PBE-GGA calculation of CaTl2Tc after structural relaxation, from Alexandria via LeMat-Bulk.

a b c (Å): 7.3226 7.3226 7.3226
angles (deg): 90.00 90.00 90.00
Closest atoms and distances in Å follow each position.
Positions (direct):
Ca  0.0000  0.0000  0.0000  4 Tc 3.17, 4 Tl 3.17
Ca  0.0000  0.5000  0.5000  4 Tc 3.17, 4 Tl 3.17
Ca  0.5000  0.0000  0.5000  4 Tc 3.17, 4 Tl 3.17
Ca  0.5000  0.5000  0.0000  4 Tc 3.17, 4 Tl 3.17
Tl  0.0000  0.0000  0.5000  4 Tl 3.17, 4 Tc 3.17
Tl  0.0000  0.5000  0.0000  4 Tl 3.17, 4 Tc 3.17
Tl  0.2500  0.2500  0.2500  4 Tl 3.17, 4 Ca 3.17
Tl  0.2500  0.7500  0.7500  4 Tl 3.17, 4 Ca 3.17
Tl  0.5000  0.0000  0.0000  4 Tl 3.17, 4 Tc 3.17
Tl  0.5000  0.5000  0.5000  4 Tl 3.17, 4 Tc 3.17
Tl  0.7500  0.2500  0.7500  4 Tl 3.17, 4 Ca 3.17
Tl  0.7500  0.7500  0.2500  4 Tl 3.17, 4 Ca 3.17
Tc  0.2500  0.2500  0.7500  4 Tl 3.17, 4 Ca 3.17
Tc  0.2500  0.7500  0.2500  4 Tl 3.17, 4 Ca 3.17
Tc  0.7500  0.2500  0.2500  4 Tl 3.17, 4 Ca 3.17
Tc  0.7500  0.7500  0.7500  4 Ca 3.17, 4 Tl 3.17

Computed properties:
Total moment   2.45 μB/f.u.
ΔH_f (0 K)   0.59 eV/atom

The following is a PBE-GGA calculation of CaTl2Tc after structural relaxation, from Alexandria via LeMat-Bulk.

a b c (Å): 7.0830 7.0830 7.0830
angles (deg): 90.00 90.00 90.00
Closest atoms and distances in Å follow each position.
Positions (direct):
Ca  0.0000  0.0000  0.0000  8 Tl 3.07
Ca  0.0000  0.5000  0.5000  8 Tl 3.07
Ca  0.5000  0.0000  0.5000  8 Tl 3.07
Ca  0.5000  0.5000  0.0000  8 Tl 3.07
Tl  0.2500  0.2500  0.2500  4 Tc 3.07, 4 Ca 3.07
Tl  0.2500  0.2500  0.7500  4 Tc 3.07, 4 Ca 3.07
Tl  0.2500  0.7500  0.2500  4 Tc 3.07, 4 Ca 3.07
Tl  0.2500  0.7500  0.7500  4 Tc 3.07, 4 Ca 3.07
Tl  0.7500  0.2500  0.2500  4 Tc 3.07, 4 Ca 3.07
Tl  0.7500  0.2500  0.7500  4 Tc 3.07, 4 Ca 3.07
Tl  0.7500  0.7500  0.2500  4 Tc 3.07, 4 Ca 3.07
Tl  0.7500  0.7500  0.7500  4 Tc 3.07, 4 Ca 3.07
Tc  0.0000  0.0000  0.5000  8 Tl 3.07
Tc  0.0000  0.5000  0.0000  8 Tl 3.07
Tc  0.5000  0.0000  0.0000  8 Tl 3.07
Tc  0.5000  0.5000  0.5000  8 Tl 3.07

Computed properties:
Total moment   0.63 μB/f.u.
ΔH_f (0 K)   0.35 eV/atom

The following is a PBE-GGA calculation of CaTlTc2 after structural relaxation, from Alexandria via LeMat-Bulk.

a b c (Å): 5.9387 9.2914 2.7765
angles (deg): 90.00 90.00 90.00
Closest atoms and distances in Å follow each position.
Positions (direct):
Ca  0.0000  0.0000  0.0000  2 Ca 2.78, 2 Tl 2.97, 8 Tc 3.09
Ca  0.5000  0.5000  0.0000  2 Ca 2.78, 2 Tl 2.97, 8 Tc 3.09
Tl  0.0000  0.5000  0.0000  2 Tl 2.78, 2 Ca 2.97, 8 Tc 3.09
Tl  0.5000  0.0000  0.0000  2 Tl 2.78, 2 Ca 2.97, 8 Tc 3.09
Tc  0.2500  0.2500  0.5000  4 Tc 2.78-2.97, 4 Tl 3.09, 4 Ca 3.09
Tc  0.2500  0.7500  0.5000  4 Tc 2.78-2.97, 4 Tl 3.09, 4 Ca 3.09
Tc  0.7500  0.2500  0.5000  4 Tc 2.78-2.97, 4 Tl 3.09, 4 Ca 3.09
Tc  0.7500  0.7500  0.5000  4 Tc 2.78-2.97, 4 Tl 3.09, 4 Ca 3.09

Computed properties:
Total moment   0.00 μB/f.u.
ΔH_f (0 K)   0.82 eV/atom

The following is a PBE-GGA calculation of CaTlTc2 after structural relaxation, from Alexandria via LeMat-Bulk.

a b c (Å): 6.8134 6.8134 6.8134
angles (deg): 90.00 90.00 90.00
Closest atoms and distances in Å follow each position.
Positions (direct):
Ca  0.0000  0.0000  0.0000  8 Tc 2.95
Ca  0.0000  0.5000  0.5000  8 Tc 2.95
Ca  0.5000  0.0000  0.5000  8 Tc 2.95
Ca  0.5000  0.5000  0.0000  8 Tc 2.95
Tl  0.0000  0.0000  0.5000  8 Tc 2.95
Tl  0.0000  0.5000  0.0000  8 Tc 2.95
Tl  0.5000  0.0000  0.0000  8 Tc 2.95
Tl  0.5000  0.5000  0.5000  8 Tc 2.95
Tc  0.2500  0.2500  0.2500  4 Tl 2.95, 4 Ca 2.95
Tc  0.2500  0.2500  0.7500  4 Tl 2.95, 4 Ca 2.95
Tc  0.2500  0.7500  0.2500  4 Ca 2.95, 4 Tl 2.95
Tc  0.2500  0.7500  0.7500  4 Tl 2.95, 4 Ca 2.95
Tc  0.7500  0.2500  0.2500  4 Ca 2.95, 4 Tl 2.95
Tc  0.7500  0.2500  0.7500  4 Tl 2.95, 4 Ca 2.95
Tc  0.7500  0.7500  0.2500  4 Tl 2.95, 4 Ca 2.95
Tc  0.7500  0.7500  0.7500  4 Ca 2.95, 4 Tl 2.95

Computed properties:
Total moment   4.28 μB/f.u.
ΔH_f (0 K)   0.86 eV/atom

The following is a PBE-GGA calculation of CaTl2Tc after structural relaxation, from Alexandria via LeMat-Bulk.

a b c (Å): 4.6468 4.6468 20.0854
angles (deg): 90.00 90.00 90.00
Closest atoms and distances in Å follow each position.
Positions (direct):
Ca  0.0000  0.0000  0.0000  4 Tl 3.09, 4 Tc 3.29
Ca  0.0000  0.5000  0.2500  4 Tl 3.09, 4 Tc 3.29
Ca  0.5000  0.0000  0.7500  4 Tl 3.09, 4 Tc 3.29
Ca  0.5000  0.5000  0.5000  4 Tl 3.09, 4 Tc 3.29
Tl  0.2016  0.2500  0.6250  2 Tc 2.92, 2 Tl 2.98, 2 Ca 3.09
Tl  0.2500  0.7016  0.8750  2 Tc 2.92, 2 Tl 2.98, 2 Ca 3.09
Tl  0.2500  0.7984  0.3750  2 Tc 2.92, 2 Tl 2.98, 2 Ca 3.09
Tl  0.2984  0.2500  0.1250  2 Tc 2.92, 2 Tl 2.98, 2 Ca 3.09
Tl  0.7016  0.7500  0.1250  2 Tc 2.92, 2 Tl 2.98, 2 Ca 3.09
Tl  0.7500  0.2016  0.3750  2 Tc 2.92, 2 Tl 2.98, 2 Ca 3.09
Tl  0.7500  0.2984  0.8750  2 Tc 2.92, 2 Tl 2.98, 2 Ca 3.09
Tl  0.7984  0.7500  0.6250  2 Tc 2.92, 2 Tl 2.98, 2 Ca 3.09
Tc  0.0000  0.0000  0.5000  4 Tl 2.92
Tc  0.0000  0.5000  0.7500  4 Tl 2.92
Tc  0.5000  0.0000  0.2500  4 Tl 2.92
Tc  0.5000  0.5000  0.0000  4 Tl 2.92

Computed properties:
Total moment   1.57 μB/f.u.
ΔH_f (0 K)   0.63 eV/atom

The following is a PBE-GGA calculation of CaTlTc2 after structural relaxation, from Alexandria via LeMat-Bulk.

a b c (Å): 5.8350 9.7731 2.8591
angles (deg): 90.00 111.89 90.00
Closest atoms and distances in Å follow each position.
Positions (direct):
Ca  0.0000  0.0000  0.0000  2 Ca 2.86, 2 Tl 2.92, 4 Tc 2.93
Ca  0.5000  0.5000  0.0000  2 Ca 2.86, 2 Tl 2.92, 4 Tc 2.93
Tl  0.0000  0.5000  0.0000  2 Tl 2.86, 2 Ca 2.92, 4 Tc 2.93
Tl  0.5000  0.0000  0.0000  2 Tl 2.86, 2 Ca 2.92, 4 Tc 2.93
Tc  0.2500  0.2500  0.5000  4 Tc 2.86-2.92, 2 Tl 2.93, 2 Ca 2.93
Tc  0.2500  0.7500  0.5000  4 Tc 2.86-2.92, 2 Tl 2.93, 2 Ca 2.93
Tc  0.7500  0.2500  0.5000  4 Tc 2.86-2.92, 2 Tl 2.93, 2 Ca 2.93
Tc  0.7500  0.7500  0.5000  4 Tc 2.86-2.92, 2 Tl 2.93, 2 Ca 2.93

Computed properties:
Total moment   0.00 μB/f.u.
ΔH_f (0 K)   0.72 eV/atom

The following is a PBE-GGA calculation of CaTl2Tc after structural relaxation, from Alexandria via LeMat-Bulk.

a b c (Å): 3.4211 4.9122 6.0084
angles (deg): 90.00 106.47 90.00
Closest atoms and distances in Å follow each position.
Positions (direct):
Ca  0.0000  0.0000  0.0000  7 Tl 3.12-3.44, 4 Tc 3.23-3.24, 2 Ca 3.42
Tl  0.3541  0.5000  0.7067  1 Tc 2.92
Tl  0.7293  0.0000  0.4580  2 Tc 2.83, 3 Ca 3.12-3.15
Tc  0.6047  0.5000  0.2133  3 Tl 2.83-2.92

Computed properties:
Total moment   1.42 μB/f.u.
ΔH_f (0 K)   0.43 eV/atom

The following is a PBE-GGA calculation of CaTlTc2 after structural relaxation, from Alexandria via LeMat-Bulk.

a b c (Å): 6.6948 6.6948 6.6948
angles (deg): 90.00 90.00 90.00
Closest atoms and distances in Å follow each position.
Positions (direct):
Ca  0.0000  0.0000  0.0000  4 Tl 2.90, 4 Tc 2.90
Ca  0.0000  0.5000  0.5000  4 Tl 2.90, 4 Tc 2.90
Ca  0.5000  0.0000  0.5000  4 Tl 2.90, 4 Tc 2.90
Ca  0.5000  0.5000  0.0000  4 Tl 2.90, 4 Tc 2.90
Tl  0.2500  0.2500  0.2500  4 Tc 2.90, 4 Ca 2.90
Tl  0.2500  0.7500  0.7500  4 Tc 2.90, 4 Ca 2.90
Tl  0.7500  0.2500  0.7500  4 Tc 2.90, 4 Ca 2.90
Tl  0.7500  0.7500  0.2500  4 Tc 2.90, 4 Ca 2.90
Tc  0.0000  0.0000  0.5000  4 Tc 2.90, 4 Tl 2.90
Tc  0.0000  0.5000  0.0000  4 Tl 2.90, 4 Tc 2.90
Tc  0.2500  0.2500  0.7500  4 Tc 2.90, 4 Ca 2.90
Tc  0.2500  0.7500  0.2500  4 Tc 2.90, 4 Ca 2.90
Tc  0.5000  0.0000  0.0000  4 Tl 2.90, 4 Tc 2.90
Tc  0.5000  0.5000  0.5000  4 Tc 2.90, 4 Tl 2.90
Tc  0.7500  0.2500  0.2500  4 Tc 2.90, 4 Ca 2.90
Tc  0.7500  0.7500  0.7500  4 Tc 2.90, 4 Ca 2.90

Computed properties:
Total moment   0.00 μB/f.u.
ΔH_f (0 K)   0.54 eV/atom

The following is a PBE-GGA calculation of CaTl2Tc after structural relaxation, from Alexandria via LeMat-Bulk.

a b c (Å): 4.3228 4.3228 9.8099
angles (deg): 90.00 90.00 90.00
Closest atoms and distances in Å follow each position.
Positions (direct):
Ca  0.0000  0.0000  0.0000  8 Tl 3.06-3.27, 4 Tc 3.27
Ca  0.5000  0.5000  0.5000  8 Tl 3.06-3.27, 4 Tc 3.27
Tl  0.0000  0.0000  0.5000  4 Ca 3.06, 4 Tl 3.27, 4 Tc 3.27
Tl  0.0000  0.5000  0.2500  4 Tc 3.06, 4 Tl 3.27, 4 Ca 3.27
Tl  0.5000  0.0000  0.7500  4 Tc 3.06, 4 Tl 3.27, 4 Ca 3.27
Tl  0.5000  0.5000  0.0000  4 Ca 3.06, 4 Tl 3.27, 4 Tc 3.27
Tc  0.0000  0.5000  0.7500  8 Tl 3.06-3.27, 4 Ca 3.27
Tc  0.5000  0.0000  0.2500  8 Tl 3.06-3.27, 4 Ca 3.27

Computed properties:
Total moment   1.04 μB/f.u.
ΔH_f (0 K)   0.40 eV/atom

The following is a PBE-GGA calculation of CaTl4Tc after structural relaxation, from Alexandria via LeMat-Bulk.

a b c (Å): 6.1818 6.1818 6.1818
angles (deg): 60.00 60.00 60.00
Closest atoms and distances in Å follow each position.
Positions (direct):
Ca  0.0000  0.0000  0.0000  12 Tl 3.63, 4 Tc 3.79
Tl  0.3757  0.3757  0.3757  6 Tl 3.07-3.11
Tl  0.3757  0.3757  0.8730  6 Tl 3.07-3.11
Tl  0.3757  0.8730  0.3757  6 Tl 3.07-3.11
Tl  0.8730  0.3757  0.3757  6 Tl 3.07-3.11
Tc  0.7500  0.7500  0.7500  12 Tl 3.62, 4 Ca 3.79

Computed properties:
Total moment   2.79 μB/f.u.
ΔH_f (0 K)   0.59 eV/atom

The following is a PBE-GGA calculation of CaTlTc2 after structural relaxation, from Alexandria via LeMat-Bulk.

a b c (Å): 2.8918 2.8918 9.3735
angles (deg): 90.00 90.00 90.00
Closest atoms and distances in Å follow each position.
Positions (direct):
Ca  0.0000  0.0000  0.0000  4 Ca 2.89, 8 Tc 3.20
Tl  0.0000  0.0000  0.5000  4 Tl 2.89, 8 Tc 3.02
Tc  0.5000  0.5000  0.2626  4 Tc 2.89, 4 Tl 3.02, 4 Ca 3.20
Tc  0.5000  0.5000  0.7374  4 Tc 2.89, 4 Tl 3.02, 4 Ca 3.20

Computed properties:
Total moment   1.42 μB/f.u.
ΔH_f (0 K)   0.91 eV/atom

The following is a PBE-GGA calculation of CaTlTc2 after structural relaxation, from Alexandria via LeMat-Bulk.

a b c (Å): 7.1861 4.1445 6.9217
angles (deg): 90.00 110.16 90.00
Closest atoms and distances in Å follow each position.
Positions (direct):
Ca  0.0000  0.0000  0.0000  6 Tc 3.22-3.39, 3 Tl 3.34-3.35
Ca  0.5000  0.5000  0.0000  6 Tc 3.22-3.39, 3 Tl 3.34-3.35
Tl  0.2131  0.0000  0.6403  6 Tc 2.98-3.13
Tl  0.7131  0.5000  0.6403  6 Tc 2.98-3.13
Tc  0.2765  0.5000  0.3303  3 Tc 2.41
Tc  0.4559  0.0000  0.3681  3 Tc 2.41
Tc  0.7765  0.0000  0.3303  3 Tc 2.41
Tc  0.9559  0.5000  0.3681  3 Tc 2.41

Computed properties:
Total moment   0.00 μB/f.u.
ΔH_f (0 K)   0.28 eV/atom

The following is a PBE-GGA calculation of CaTlTc2 after structural relaxation, from Alexandria via LeMat-Bulk.

a b c (Å): 3.4572 4.6944 9.5150
angles (deg): 90.00 90.00 90.00
Closest atoms and distances in Å follow each position.
Positions (direct):
Ca  0.0000  0.0000  0.0000  4 Ca 2.92, 4 Tc 3.03
Ca  0.5000  0.5000  0.0000  4 Ca 2.92, 4 Tc 3.03
Tl  0.0000  0.0000  0.5000  4 Tc 2.86, 4 Tl 2.92
Tl  0.5000  0.5000  0.5000  4 Tc 2.86, 4 Tl 2.92
Tc  0.0000  0.5000  0.2611  2 Tl 2.86, 4 Tc 2.92, 2 Ca 3.03
Tc  0.0000  0.5000  0.7389  2 Tl 2.86, 4 Tc 2.92, 2 Ca 3.03
Tc  0.5000  0.0000  0.2611  2 Tl 2.86, 4 Tc 2.92, 2 Ca 3.03
Tc  0.5000  0.0000  0.7389  2 Tl 2.86, 4 Tc 2.92, 2 Ca 3.03

Computed properties:
Total moment   0.00 μB/f.u.
ΔH_f (0 K)   0.87 eV/atom

The following is a PBE-GGA calculation of CaTl2Tc after structural relaxation, from Alexandria via LeMat-Bulk.

a b c (Å): 9.8962 3.4785 5.7025
angles (deg): 90.00 104.80 90.00
Closest atoms and distances in Å follow each position.
Positions (direct):
Ca  0.0000  0.0000  0.0000  6 Tl 3.15-3.25, 4 Tc 3.34, 2 Ca 3.48
Ca  0.5000  0.5000  0.0000  6 Tl 3.15-3.25, 4 Tc 3.34, 2 Ca 3.48
Tl  0.2321  0.0000  0.7114  3 Tc 2.89-3.18, 2 Tl 3.07, 1 Ca 3.15
Tl  0.2679  0.5000  0.2886  3 Tc 2.89-3.18, 2 Tl 3.07, 1 Ca 3.15
Tl  0.7321  0.5000  0.7114  3 Tc 2.89-3.18, 2 Tl 3.07, 1 Ca 3.15
Tl  0.7679  0.0000  0.2886  3 Tc 2.89-3.18, 2 Tl 3.07, 1 Ca 3.15
Tc  0.0000  0.5000  0.5000  6 Tl 2.89-3.18
Tc  0.5000  0.0000  0.5000  6 Tl 2.89-3.18

Computed properties:
Total moment   0.84 μB/f.u.
ΔH_f (0 K)   0.33 eV/atom